! KLaHgTe3 (PBE, relaxed); values from VASP
! Crystal system: monoclinic
! Formation energy (no corrections), eV per atom: -1.018
&SYSTEM
  ibrav = 0, nat = 12, ntyp = 4
/
ATOMIC_SPECIES
K 39.10 K.upf
La 138.91 La.upf
Hg 200.59 Hg.upf
Te 127.60 Te.upf
ATOMIC_POSITIONS angstrom
K -2.736 -1.025 -1.247
K -8.307 -3.072 -4.904
La -2.213 -0.066 -5.969
La -8.829 -4.030 -0.182
Hg -5.303 -3.866 1.071
Hg -5.739 -0.230 -7.222
Te -3.915 1.722 -8.118
Te -7.128 -5.819 1.967
Te -4.566 -2.494 -5.818
Te -6.477 -1.602 -0.333
Te -3.883 1.354 -3.625
Te -7.160 -5.451 -2.526
CELL_PARAMETERS angstrom
-3.329 3.244 0.290
-0.530 0.304 -9.493
-7.183 -7.645 3.052